SrTaCo3 after structural relaxation, computed with PBE.

Lattice parameters (Å, degrees): 4.6427 4.6427 4.6427 90.00 90.00 90.00
Closest atoms and distances in Å follow each position.
Space group Pm-3m (No. 221)
Unique sites:
Sr 0.0000 0.0000 0.0000  12 Co 3.28
Ta 0.5000 0.5000 0.5000  6 Co 2.32
Co 0.0000 0.5000 0.5000  2 Ta 2.32

crystal system	cubic
formation enthalpy at 0 K	0.79	eV/atom
uncorrected energy	-6.18	eV per atom



Sr2TaCo after structural relaxation, computed with PBE.

Lattice parameters (Å, degrees): 3.3357 3.3357 30.8959 90.00 90.00 120.00
Closest atoms and distances in Å follow each position.
Space group R-3m (No. 166, hexagonal axes)
Unique sites:
Sr 0.0000 0.0000 0.2407  3 Co 2.99, 6 Sr 3.34
Ta 0.0000 0.0000 0.0000  6 Ta 3.34, 6 Sr 3.45
Co 0.0000 0.0000 0.5000  6 Sr 2.99, 6 Co 3.34

energy above the most stable polymorph in this dataset	0.769	eV/atom
crystal system	trigonal
formation enthalpy at 0 K	1.11	eV/atom
uncorrected energy	-4.48	eV per atom



SrTa2Co after structural relaxation, computed with PBE.

Lattice parameters (Å, degrees): 3.9383 3.9383 10.3150 90.00 90.00 90.00
Closest atoms and distances in Å follow each position.
Space group I4/mmm (No. 139)
Unique sites:
Sr 0.0000 0.0000 0.0000  4 Co 2.78
Ta 0.0000 0.5000 0.2500  4 Ta 2.78
Co 0.0000 0.0000 0.5000  4 Sr 2.78

energy above the most stable polymorph in this dataset	0.624	eV/atom
crystal system	tetragonal
formation enthalpy at 0 K	0.98	eV/atom
uncorrected energy	-7.14	eV per atom



SrTa2Co after structural relaxation, computed with PBE.

Lattice parameters (Å, degrees): 6.6075 6.6075 6.6075 90.00 90.00 90.00
Closest atoms and distances in Å follow each position.
Space group Fm-3m (No. 225)
Unique sites:
Sr 0.0000 0.0000 0.0000  8 Ta 2.86
Ta 0.2500 0.2500 0.2500  4 Co 2.86, 4 Sr 2.86
Co 0.0000 0.0000 0.5000  8 Ta 2.86

energy above the most stable polymorph in this dataset	0.765	eV/atom
crystal system	cubic
formation enthalpy at 0 K	1.12	eV/atom
uncorrected energy	-7.00	eV per atom



SrTaCo after structural relaxation, computed with PBE.

Lattice parameters (Å, degrees): 3.2910 3.2910 12.2450 90.00 90.00 90.00
Closest atoms and distances in Å follow each position.
Space group I4mm (No. 107)
Unique sites:
Sr 0.0000 0.0000 0.0000  4 Sr 3.29, 5 Ta 3.36-3.62, 5 Co 3.41-3.62
Ta 0.0000 0.0000 0.7260  4 Co 2.48
Co 0.0000 0.0000 0.2960  4 Ta 2.48

energy above the most stable polymorph in this dataset	0.000	eV/atom
crystal system	tetragonal
formation enthalpy at 0 K	0.36	eV/atom
uncorrected energy	-6.52	eV per atom



SrTa2Co after structural relaxation, computed with PBE.

Lattice parameters (Å, degrees): 3.9408 3.9408 5.1768 90.00 90.00 90.00
Closest atoms and distances in Å follow each position.
Space group P4/mmm (No. 123)
Unique sites:
Sr 0.0000 0.0000 0.0000  4 Co 2.79
Ta 0.0000 0.5000 0.5000  4 Ta 2.79
Co 0.5000 0.5000 0.0000  4 Sr 2.79

energy above the most stable polymorph in this dataset	0.646	eV/atom
crystal system	tetragonal
formation enthalpy at 0 K	1.00	eV/atom
uncorrected energy	-7.12	eV per atom



SrTa2Co after structural relaxation, computed with PBE.

Lattice parameters (Å, degrees): 5.4476 10.7579 2.9006 90.00 111.46 90.00
Closest atoms and distances in Å follow each position.
Space group C2/m (No. 12)
Unique sites:
Sr 0.0000 0.0000 0.0000  2 Co 2.72, 2 Sr 2.90
Ta 0.2500 0.2500 0.5000  4 Ta 2.72-2.90
Co 0.0000 0.5000 0.0000  2 Sr 2.72, 2 Co 2.90

energy above the most stable polymorph in this dataset	0.577	eV/atom
crystal system	monoclinic
formation enthalpy at 0 K	0.93	eV/atom
uncorrected energy	-7.19	eV per atom



SrTaCo2 after structural relaxation, computed with PBE.

Lattice parameters (Å, degrees): 6.5220 6.5220 6.5220 90.00 90.00 90.00
Closest atoms and distances in Å follow each position.
Space group Fm-3m (No. 225)
Unique sites:
Sr 0.0000 0.0000 0.0000  8 Co 2.82
Ta 0.0000 0.0000 0.5000  8 Co 2.82
Co 0.2500 0.2500 0.2500  4 Ta 2.82, 4 Sr 2.82

energy above the most stable polymorph in this dataset	0.497	eV/atom
crystal system	cubic
formation enthalpy at 0 K	0.64	eV/atom
uncorrected energy	-6.30	eV per atom